A relaxed structure of YErTe2. Source: OQMD, functional PBE-GGA.

Unit cell a=7.643 b=7.643 c=4.075 alpha=90.00 beta=90.00 gamma=90.00
Space group P-42_1m (No. 113)
Inequivalent atoms, fractional coordinates:
Y: 0.000 0.500 0.182 (multiplicity 2)
Er: 0.000 0.000 0.000 (multiplicity 2)
Te: 0.216 0.284 0.679 (multiplicity 4)

- Offset from the most stable computed form: 18.0 kJ/mol of atoms

A relaxed structure of CsBaHg. Source: OQMD, functional PBE-GGA.

Unit cell a=8.687 b=8.687 c=8.687 alpha=90.00 beta=90.00 gamma=90.00
Space group F-43m (No. 216)
Inequivalent atoms, fractional coordinates:
Cs: 0.000 0.000 0.000 (multiplicity 4)
Ba: 0.000 0.000 0.500 (multiplicity 4)
Hg: 0.250 0.250 0.750 (multiplicity 4)

- Offset from the most stable computed form: 0.0 kJ/mol of atoms

A relaxed structure of K2Rb3CuSb2. Source: OQMD, functional PBE-GGA.

Unit cell a=6.1152 b=6.1152 c=28.6788 alpha=90.00 beta=90.00 gamma=120.00
Space group R-3m (No. 166, hexagonal axes)
Inequivalent atoms, fractional coordinates:
K: 0.0000 0.0000 0.2165 (multiplicity 6)
Rb: 0.0000 0.0000 0.3641 (multiplicity 6)
Rb: 0.0000 0.0000 0.5000 (multiplicity 3)
Cu: 0.0000 0.0000 0.0000 (multiplicity 3)
Sb: 0.0000 0.0000 0.0884 (multiplicity 6)

- Offset from the most stable computed form: 0.0 kJ/mol of atoms

A relaxed structure of ZrSn2Hg. Source: OQMD, functional PBE-GGA.

Unit cell a=7.306 b=7.306 c=7.306 alpha=90.00 beta=90.00 gamma=90.00
Space group F-43m (No. 216)
Inequivalent atoms, fractional coordinates:
Zr: 0.000 0.000 0.000 (multiplicity 4)
Sn: 0.000 0.000 0.500 (multiplicity 4)
Sn: 0.250 0.250 0.250 (multiplicity 4)
Hg: 0.250 0.250 0.750 (multiplicity 4)

- Raw total energy: -65.14 eV for the cell shown

A relaxed structure of LuHgGe. Source: OQMD, functional PBE-GGA.

Unit cell a=6.781 b=6.781 c=6.781 alpha=90.00 beta=90.00 gamma=90.00
Space group F-43m (No. 216)
Inequivalent atoms, fractional coordinates:
Lu: 0.000 0.000 0.000 (multiplicity 4)
Hg: 0.250 0.250 0.250 (multiplicity 4)
Ge: 0.250 0.250 0.750 (multiplicity 4)

- Raw total energy: -39.90 eV for the cell shown

A relaxed structure of YNiMo2. Source: OQMD, functional PBE-GGA.

Unit cell a=6.462 b=6.462 c=6.462 alpha=90.00 beta=90.00 gamma=90.00
Space group F-43m (No. 216)
Inequivalent atoms, fractional coordinates:
Y: 0.000 0.000 0.000 (multiplicity 4)
Ni: 0.250 0.250 0.750 (multiplicity 4)
Mo: 0.000 0.000 0.500 (multiplicity 4)
Mo: 0.250 0.250 0.250 (multiplicity 4)

- Formation energy from the elements: 5.32 kcal/mol of atoms

A relaxed structure of AgPPb. Source: OQMD, functional PBE-GGA.

Unit cell a=4.3647 b=4.3647 c=8.4282 alpha=90.00 beta=90.00 gamma=120.00
Space group P6_3/mmc (No. 194)
Inequivalent atoms, fractional coordinates:
Ag: 0.3333 0.6667 0.2500 (multiplicity 2)
P: 0.3333 0.6667 0.7500 (multiplicity 2)
Pb: 0.0000 0.0000 0.0000 (multiplicity 2)

- Offset from the most stable computed form: 0.0 kJ/mol of atoms

A relaxed structure of LiTaFeSi. Source: OQMD, functional PBE-GGA.

Unit cell a=5.808 b=5.808 c=5.808 alpha=90.00 beta=90.00 gamma=90.00
Space group F-43m (No. 216)
Inequivalent atoms, fractional coordinates:
Li: 0.000 0.000 0.000 (multiplicity 4)
Ta: 0.250 0.250 0.750 (multiplicity 4)
Fe: 0.000 0.000 0.500 (multiplicity 4)
Si: 0.250 0.250 0.250 (multiplicity 4)

- Offset from the most stable computed form: 0.0 kJ/mol of atoms

A relaxed structure of Cu9Ag. Source: OQMD, functional PBE-GGA.

Unit cell a=6.347 b=2.630 c=7.673 alpha=90.00 beta=104.60 gamma=90.00
Space group P2/m (No. 10)
Inequivalent atoms, fractional coordinates:
Cu: 0.000 0.000 0.000 (multiplicity 1)
Cu: 0.098 0.500 0.293 (multiplicity 2)
Cu: 0.186 0.000 0.604 (multiplicity 2)
Cu: 0.298 0.500 0.896 (multiplicity 2)
Cu: 0.396 0.000 0.184 (multiplicity 2)
Ag: 0.500 0.500 0.500 (multiplicity 1)

- Offset from the most stable computed form: 0.6 kJ/mol of atoms
- Formation energy from the elements: 0.97 kcal/mol of atoms

A relaxed structure of GdTlInTe3. Source: OQMD, functional PBE-GGA.

Unit cell a=4.513 b=15.355 c=11.592 alpha=90.00 beta=90.00 gamma=90.00
Space group Cmcm (No. 63)
Inequivalent atoms, fractional coordinates:
Gd: 0.000 0.000 0.000 (multiplicity 4)
Tl: 0.000 0.235 0.250 (multiplicity 4)
In: 0.000 0.462 0.750 (multiplicity 4)
Te: 0.000 0.090 0.750 (multiplicity 4)
Te: 0.000 0.360 0.538 (multiplicity 8)

- Raw total energy: -92.76 eV for the cell shown

A relaxed structure of HfTcIr. Source: OQMD, functional PBE-GGA.

Unit cell a=6.155 b=6.155 c=6.155 alpha=90.00 beta=90.00 gamma=90.00
Space group F-43m (No. 216)
Inequivalent atoms, fractional coordinates:
Hf: 0.000 0.000 0.000 (multiplicity 4)
Tc: 0.000 0.000 0.500 (multiplicity 4)
Ir: 0.250 0.250 0.250 (multiplicity 4)

- Offset from the most stable computed form: 0.0 kJ/mol of atoms
- Formation energy from the elements: 0.09 kcal/mol of atoms

A relaxed structure of SrAlTc. Source: OQMD, functional PBE-GGA.

Unit cell a=6.554 b=6.554 c=6.554 alpha=90.00 beta=90.00 gamma=90.00
Space group F-43m (No. 216)
Inequivalent atoms, fractional coordinates:
Sr: 0.000 0.000 0.000 (multiplicity 4)
Al: 0.000 0.000 0.500 (multiplicity 4)
Tc: 0.250 0.250 0.750 (multiplicity 4)

- Offset from the most stable computed form: 0.0 kJ/mol of atoms

A relaxed structure of Zr4In2CN. Source: OQMD, functional PBE-GGA.

Unit cell a=3.3478 b=3.3478 c=14.9253 alpha=90.00 beta=90.00 gamma=120.00
Space group P-3m1 (No. 164)
Inequivalent atoms, fractional coordinates:
Zr: 0.3333 0.6667 0.0834 (multiplicity 2)
Zr: 0.3333 0.6667 0.4178 (multiplicity 2)
In: 0.3333 0.6667 0.7484 (multiplicity 2)
C: 0.0000 0.0000 0.0000 (multiplicity 1)
N: 0.0000 0.0000 0.5000 (multiplicity 1)

- Raw total energy: -64.28 eV for the cell shown

A relaxed structure of GdSbIr. Source: OQMD, functional PBE-GGA.

Unit cell a=7.0156 b=7.0156 c=4.4851 alpha=90.00 beta=90.00 gamma=120.00
Space group P-62m (No. 189)
Inequivalent atoms, fractional coordinates:
Gd: 0.0000 0.5667 0.0000 (multiplicity 3)
Sb: 0.0000 0.0000 0.0000 (multiplicity 1)
Sb: 0.3333 0.6667 0.5000 (multiplicity 2)
Ir: 0.0000 0.2371 0.5000 (multiplicity 3)

- Raw total energy: -59.99 eV for the cell shown

A relaxed structure of PmMgB4. Source: OQMD, functional PBE-GGA.

Unit cell a=3.202 b=5.487 c=7.983 alpha=90.00 beta=90.00 gamma=90.00
Space group Immm (No. 71)
Inequivalent atoms, fractional coordinates:
Pm: 0.000 0.000 0.000 (multiplicity 2)
Mg: 0.000 0.000 0.500 (multiplicity 2)
B: 0.000 0.328 0.253 (multiplicity 8)

- Offset from the most stable computed form: 1.6 kJ/mol of atoms

A relaxed structure of SrSmSi3Au. Source: OQMD, functional PBE-GGA.

Unit cell a=8.322 b=8.768 c=14.523 alpha=90.00 beta=90.00 gamma=90.00
Space group Fmmm (No. 69)
Inequivalent atoms, fractional coordinates:
Sr: 0.250 0.250 0.250 (multiplicity 8)
Sm: 0.000 0.241 0.000 (multiplicity 8)
Si: 0.000 0.000 0.161 (multiplicity 8)
Si: 0.246 0.000 0.080 (multiplicity 16)
Au: 0.000 0.000 0.334 (multiplicity 8)

- Offset from the most stable computed form: 0.0 kJ/mol of atoms

A relaxed structure of GdP2Pd2. Source: OQMD, functional PBE-GGA.

Unit cell a=4.270 b=4.270 c=9.509 alpha=90.00 beta=90.00 gamma=90.00
Space group P4/nmm (No. 129, origin choice 2)
Inequivalent atoms, fractional coordinates:
Gd: 0.250 0.250 0.243 (multiplicity 2)
P: 0.250 0.250 0.633 (multiplicity 2)
P: 0.250 0.750 0.000 (multiplicity 2)
Pd: 0.250 0.250 0.881 (multiplicity 2)
Pd: 0.250 0.750 0.500 (multiplicity 2)

- Raw total energy: -60.73 eV for the cell shown

A relaxed structure of SmBiNO. Source: OQMD, functional PBE-GGA.

Unit cell a=9.138 b=9.276 c=3.868 alpha=90.00 beta=100.05 gamma=90.00
Space group Cm (No. 8)
Inequivalent atoms, fractional coordinates:
Sm: 0.000 0.190 0.000 (multiplicity 4)
Bi: 0.172 0.500 0.405 (multiplicity 2)
Bi: 0.295 0.000 0.786 (multiplicity 2)
N: 0.150 0.000 0.240 (multiplicity 2)
N: 0.332 0.500 0.876 (multiplicity 2)
O: 0.034 0.310 0.514 (multiplicity 4)

- Offset from the most stable computed form: 19.5 kJ/mol of atoms

A relaxed structure of CsTe3PbAu. Source: OQMD, functional PBE-GGA.

Unit cell a=4.214 b=17.332 c=12.209 alpha=90.00 beta=90.00 gamma=90.00
Space group Cmcm (No. 63)
Inequivalent atoms, fractional coordinates:
Cs: 0.000 0.243 0.250 (multiplicity 4)
Te: 0.000 0.131 0.551 (multiplicity 8)
Te: 0.000 0.449 0.750 (multiplicity 4)
Pb: 0.000 0.500 0.000 (multiplicity 4)
Au: 0.000 0.055 0.750 (multiplicity 4)

- Raw total energy: -76.78 eV for the cell shown

A relaxed structure of ReGe. Source: OQMD, functional PBE-GGA.

Unit cell a=5.077 b=5.077 c=5.077 alpha=90.00 beta=90.00 gamma=90.00
Space group Fm-3m (No. 225)
Inequivalent atoms, fractional coordinates:
Re: 0.000 0.000 0.000 (multiplicity 4)
Ge: 0.000 0.000 0.500 (multiplicity 4)

- Raw total energy: -60.15 eV for the cell shown